Below is crystalline BaSr3Cu2 at its relaxed geometry, with properties calculated at the GGA-PBE level.

Cell lengths 9.7669, 9.7669, 13.7471 Å; angles 123.50, 123.50, 26.14 degrees
Element x y z (fractional)
Ba 0.1556 0.1556 0.2501
Ba 0.8444 0.8444 0.7499
Sr 0.1577 0.1577 0.7577
Sr 0.4109 0.4109 0.0580
Sr 0.4118 0.4118 0.5525
Sr 0.5882 0.5882 0.4475
Sr 0.5891 0.5891 0.9420
Sr 0.8423 0.8423 0.2423
Cu 0.2372 0.2372 0.0337
Cu 0.2371 0.2371 0.5332
Cu 0.7629 0.7629 0.4668
Cu 0.7628 0.7628 0.9663

Summary:
DOS(E_F) (states/eV per cell): 9.94
Raw total energy (eV per atom): -2.586
Magnetization (μB per atom): 0.00
Formation energy (meV/atom): -59.6
SG: No. 12